InCoW2: optimized geometry, PBE-GGA.

a = 2.8156 Å, b = 2.8156 Å, c = 7.9633 Å
α = 90.00°, β = 90.00°, γ = 90.07°
Each line ends with the local moment (μB).
Fractional positions:
W 0.0000 0.0000 0.4643  0.02
W 0.0000 0.0000 0.0357  0.02
In 0.5000 0.5000 0.7500  -0.01
Co 0.5000 0.5000 0.2500  0.99

Computed properties:
Formation enthalpy at 0 K in eV/atom: 0.39
Space group: P4/mmm (123)
Total magnetic moment in μB/cell: 1.005
Fermi-level density of states in states/eV/f.u.: 1.719
Crystal system: tetragonal
Final energy in eV/f.u.: -34.19

---

Na3Hg5Au2: optimized geometry, PBE-GGA.

a = 9.8392 Å, b = 8.9789 Å, c = 9.0366 Å
α = 119.79°, β = 122.98°, γ = 90.00°
Fractional positions:
Na 0.7500 0.0000 0.0000
Na 0.1384 0.8533 0.2769
Na 0.2500 0.0000 0.0000
Na 0.3616 0.5764 0.7231
Na 0.6384 0.4236 0.2769
Na 0.8616 0.1467 0.7231
Hg 0.1222 0.4821 0.2443
Hg 0.9953 0.2453 0.4906
Hg 0.8778 0.5179 0.7557
Hg 0.6222 0.7622 0.2443
Hg 0.2500 0.5000 0.0000
Hg 0.7500 0.5000 0.0000
Hg 0.5047 0.7547 0.5094
Hg 0.0047 0.7547 0.5094
Hg 0.4953 0.2453 0.4906
Hg 0.3778 0.2378 0.7557
Au 0.1174 0.1638 0.2348
Au 0.8826 0.8362 0.7652
Au 0.6174 0.0709 0.2348
Au 0.3826 0.9291 0.7652

Computed properties:
Formation enthalpy at 0 K in eV/atom: -0.17
Space group: Ibam (72)
Total magnetic moment in μB/cell: 0.000
Offset from the most stable computed form in eV/atom: 0.000
Fermi-level density of states in states/eV/f.u.: 2.371
Crystal system: orthorhombic
Final energy in eV/f.u.: -13.74

---

Ordered volume results: 63.1, 539.6; unit Å³ per cell.